Entry 1:
! Th3Zn4Co4 PBE optimized geometry; values from VASP
! Space group: No. 71
&SYSTEM
  ibrav = 0, nat = 11, ntyp = 3
/
ATOMIC_SPECIES
Th 232.04 Th.upf
Zn 65.41 Zn.upf
Co 58.93 Co.upf
CELL_PARAMETERS angstrom
-1.902 3.678 6.976
1.902 -3.678 6.976
1.902 3.678 -6.976
ATOMIC_POSITIONS crystal
Th 0.000 0.000 0.000
Th 0.377 0.877 0.500
Th 0.623 0.123 0.500
Zn 0.011 0.327 0.684
Zn 0.357 0.673 0.684
Zn 0.643 0.327 0.316
Zn 0.989 0.673 0.316
Co 0.235 0.235 0.000
Co 0.299 0.500 0.799
Co 0.701 0.500 0.201
Co 0.765 0.765 0.000

Entry 2:
! Pm5Sm4Sn2 PBE optimized geometry; values from VASP
! Space group: No. 166
&SYSTEM
  ibrav = 0, nat = 11, ntyp = 3
/
ATOMIC_SPECIES
Pm 145.00 Pm.upf
Sm 150.36 Sm.upf
Sn 118.71 Sn.upf
CELL_PARAMETERS angstrom
2.660 1.536 15.668
-2.660 1.536 15.668
0.000 -3.072 15.668
ATOMIC_POSITIONS crystal
Pm 0.000 0.000 0.000
Pm 0.148 0.148 0.148
Pm 0.304 0.304 0.304
Pm 0.696 0.696 0.696
Pm 0.852 0.852 0.852
Sm 0.072 0.072 0.072
Sm 0.226 0.226 0.226
Sm 0.774 0.774 0.774
Sm 0.928 0.928 0.928
Sn 0.380 0.380 0.380
Sn 0.620 0.620 0.620

The evaluated total energy for the records listed, in turn: -5.319, -4.516 eV per atom.
The evaluated energy of formation from the pure elements for the records listed, in turn: -0.248, 0.087 eV/atom.